First-principles (PBE-GGA) data for crystalline Be2TcBiB at its relaxed geometry, as listed in Alexandria.

POSCAR file:
```
Be2TcBiB
1.0
-0.998 -0.703 -3.847
1.598 -3.867 0.292
-3.596 -1.397 1.188
Be Bi B Tc
2 1 1 1
Cartesian
-0.499 -0.351 -1.924
-1.798 -0.698 0.594
-1.498 -2.983 -1.184
0.000 0.000 0.000
0.799 -1.933 0.146
```

Values from the calculation:
Final energy   -5.184 eV per atom
Space group   No. 123
D(E_F)   0.32 states/eV per atom